A relaxed UNiSn2S5 crystal, computed with PBE-GGA.

Calculated values
**Fermi-level density of states**: 0.659 states/eV/atom
**DFT total energy**: -5.795 eV/atom
**V**: 24.40 Å³ per atom
**SG**: Cmc2_1

Cell lengths 9.647, 9.647, 11.965 Å; angles 90.00, 90.00, 156.76 degrees
Sites, in units of the cell vectors:
U1 0.197 0.803 0.500
U2 0.803 0.197 0.000
Ni1 0.421 0.579 0.921
Ni2 0.579 0.421 0.421
Sn1 0.074 0.926 0.748
Sn2 0.142 0.858 0.129
Sn3 0.858 0.142 0.629
Sn4 0.926 0.074 0.248
S1 0.060 0.940 0.513
S2 0.284 0.716 0.149
S3 0.311 0.689 0.856
S4 0.338 0.662 0.478
S5 0.482 0.518 0.758
S6 0.518 0.482 0.258
S7 0.662 0.338 0.978
S8 0.689 0.311 0.356
S9 0.716 0.284 0.649
S10 0.940 0.060 0.013